Entry 1:
Cs3Cu2I5 after structural relaxation, computed with GGA-PBE.

It has space group Pnma (No. 62), with a = 10.325 Å, b = 11.785 Å, c = 14.541 Å, α = 90.00°, β = 90.00° and γ = 90.00°. The inequivalent atoms are Cs at (0.053, 0.012, 0.176), Cs at (0.093, 0.750, 0.452), Cu at (0.215, 0.750, 0.045), Cu at (0.237, 0.750, 0.874), I at (0.033, 0.250, 0.988), I at (0.161, 0.750, 0.709), I at (0.191, 0.062, 0.449) and I at (0.203, 0.250, 0.712).

The calculation puts the uncorrected energy at -2.78 eV/atom. The crystal system is orthorhombic.

Entry 2:
Ga2NiGe after structural relaxation, computed with GGA-PBE.

It has space group F-43m (No. 216), with a = 6.299 Å, b = 6.299 Å, c = 6.299 Å, α = 90.00°, β = 90.00° and γ = 90.00°. The inequivalent atoms are Ga at (0.000, 0.000, 0.000), Ga at (0.250, 0.250, 0.250), Ni at (0.250, 0.250, 0.750) and Ge at (0.000, 0.000, 0.500).

The calculation puts the uncorrected energy at -3.95 eV/atom. The crystal system is cubic.

Entry 3:
Li2TlHg after structural relaxation, computed with GGA-PBE.

It has space group F-43m (No. 216), with a = 6.853 Å, b = 6.853 Å, c = 6.853 Å, α = 90.00°, β = 90.00° and γ = 90.00°. The inequivalent atoms are Li at (0.000, 0.000, 0.000), Li at (0.250, 0.250, 0.250), Tl at (0.000, 0.000, 0.500) and Hg at (0.250, 0.250, 0.750).

The calculation puts the uncorrected energy at -1.87 eV/atom. The crystal system is cubic.